Record 1
Entry from Alexandria via LeMat-Bulk: a relaxed structure of InAgCl2 (PBE).

a b c (Å): 4.487 4.433 6.495
angles (deg): 90.00 107.55 90.00
Fractional coordinates of all 4 atoms:
In1 0.000 0.000 0.000
Ag1 0.305 0.500 0.655
Cl1 0.206 0.000 0.462
Cl2 0.542 0.500 0.062

Values from the calculation:
* ΔE_f (raw): -0.60 eV/atom
* symmetry: No. 6
* magnetic moment: 0.0 μB per cell
* ρ: 4.0 Mg/m³
* DOS(E_F): 0.00 states/eV per cell

Record 2
Entry from Alexandria via LeMat-Bulk: a relaxed structure of Nd4Al2O9 (PBE).

a b c (Å): 7.794 10.948 11.448
angles (deg): 90.00 109.36 90.00
Fractional coordinates of all 60 atoms:
Nd1 0.024 0.101 0.288
Nd2 0.024 0.399 0.788
Nd3 0.167 0.625 0.571
Nd4 0.167 0.875 0.071
Nd5 0.336 0.123 0.913
Nd6 0.336 0.377 0.413
Nd7 0.474 0.586 0.190
Nd8 0.474 0.914 0.690
Nd9 0.526 0.086 0.310
Nd10 0.526 0.414 0.810
Nd11 0.664 0.623 0.587
Nd12 0.664 0.877 0.087
Nd13 0.833 0.125 0.929
Nd14 0.833 0.375 0.429
Nd15 0.976 0.601 0.212
Nd16 0.976 0.899 0.712
Al1 0.152 0.189 0.619
Al2 0.152 0.311 0.119
Al3 0.276 0.691 0.871
Al4 0.276 0.809 0.371
Al5 0.724 0.191 0.629
Al6 0.724 0.309 0.129
Al7 0.848 0.689 0.881
Al8 0.848 0.811 0.381
O1 0.066 0.742 0.883
O2 0.066 0.758 0.383
O3 0.068 0.010 0.897
O4 0.068 0.490 0.397
O5 0.141 0.227 0.468
O6 0.141 0.273 0.968
O7 0.202 0.037 0.674
O8 0.202 0.463 0.174
O9 0.268 0.724 0.236
O10 0.268 0.776 0.736
O11 0.282 0.535 0.834
O12 0.282 0.965 0.334
O13 0.283 0.222 0.247
O14 0.283 0.278 0.747
O15 0.420 0.733 0.019
O16 0.420 0.767 0.519
O17 0.424 0.003 0.106
O18 0.424 0.497 0.606
O19 0.576 0.503 0.394
O20 0.576 0.997 0.894
O21 0.580 0.233 0.481
O22 0.580 0.267 0.981
O23 0.717 0.722 0.253
O24 0.717 0.778 0.753
O25 0.718 0.035 0.666
O26 0.718 0.465 0.166
O27 0.732 0.224 0.264
O28 0.732 0.276 0.764
O29 0.798 0.537 0.826
O30 0.798 0.963 0.326
O31 0.859 0.727 0.032
O32 0.859 0.773 0.532
O33 0.932 0.510 0.603
O34 0.932 0.990 0.103
O35 0.934 0.242 0.617
O36 0.934 0.258 0.117

Values from the calculation:
* ΔE_f (raw): -3.30 eV/atom
* symmetry: No. 14
* magnetic moment: 0.0 μB per cell
* ρ: 5.6 Mg/m³
* DOS(E_F): 0.00 states/eV per cell

Record 3
Entry from Alexandria via LeMat-Bulk: a relaxed structure of RbGe3Bi (PBE).

a b c (Å): 5.602 5.602 5.602
angles (deg): 90.00 90.00 90.00
Fractional coordinates of all 5 atoms:
Rb1 0.000 0.000 0.000
Ge1 0.000 0.000 0.500
Ge2 0.000 0.500 0.000
Ge3 0.500 0.000 0.000
Bi1 0.500 0.500 0.500

Values from the calculation:
* symmetry: No. 221
* magnetic moment: 0.4 μB per cell
* DFT formation energy: 1575 meV per atom
* ρ: 4.8 Mg/m³
* DOS(E_F): 6.62 states/eV per cell

Record 4
Entry from Alexandria via LeMat-Bulk: a relaxed structure of AcNdRu2 (PBE).

a b c (Å): 7.192 7.192 7.192
angles (deg): 90.00 90.00 90.00
Fractional coordinates of all 16 atoms:
Ac1 0.000 0.000 0.000
Ac2 0.000 0.500 0.500
Ac3 0.500 0.000 0.500
Ac4 0.500 0.500 0.000
Nd1 0.000 0.000 0.500
Nd2 0.000 0.500 0.000
Nd3 0.500 0.000 0.000
Nd4 0.500 0.500 0.500
Ru1 0.250 0.250 0.250
Ru2 0.250 0.250 0.750
Ru3 0.250 0.750 0.250
Ru4 0.250 0.750 0.750
Ru5 0.750 0.250 0.250
Ru6 0.750 0.250 0.750
Ru7 0.750 0.750 0.250
Ru8 0.750 0.750 0.750

Values from the calculation:
* symmetry: No. 225
* magnetic moment: 0.0 μB per cell
* DFT formation energy: 39 meV per atom
* ρ: 10.2 Mg/m³
* DOS(E_F): 17.86 states/eV per cell

Record 5
Entry from Alexandria via LeMat-Bulk: a relaxed structure of Er4InAg3 (PBE).

a b c (Å): 8.933 8.933 8.933
angles (deg): 33.47 33.47 33.47
Fractional coordinates of all 8 atoms:
Er1 0.121 0.121 0.121
Er2 0.372 0.372 0.372
Er3 0.628 0.628 0.628
Er4 0.879 0.879 0.879
In1 0.500 0.500 0.500
Ag1 0.000 0.000 0.000
Ag2 0.247 0.247 0.247
Ag3 0.753 0.753 0.753

Values from the calculation:
* symmetry: No. 166
* magnetic moment: 0.0 μB per cell
* DFT formation energy: -361 meV per atom
* ρ: 9.5 Mg/m³
* DOS(E_F): 5.41 states/eV per cell

Record 6
Entry from Alexandria via LeMat-Bulk: a relaxed structure of Ti2P3O12 (PBE).

a b c (Å): 8.915 8.915 8.915
angles (deg): 58.01 58.01 58.01
Fractional coordinates of all 34 atoms:
Ti1 0.141 0.141 0.141
Ti2 0.359 0.359 0.359
Ti3 0.641 0.641 0.641
Ti4 0.859 0.859 0.859
P1 0.031 0.750 0.469
P2 0.250 0.531 0.969
P3 0.469 0.031 0.750
P4 0.531 0.969 0.250
P5 0.750 0.469 0.031
P6 0.969 0.250 0.531
O1 0.003 0.774 0.641
O2 0.062 0.925 0.292
O3 0.075 0.708 0.938
O4 0.141 0.274 0.503
O5 0.208 0.575 0.438
O6 0.226 0.359 0.997
O7 0.274 0.503 0.141
O8 0.292 0.062 0.925
O9 0.359 0.997 0.226
O10 0.425 0.562 0.792
O11 0.438 0.208 0.575
O12 0.497 0.859 0.726
O13 0.503 0.141 0.274
O14 0.562 0.792 0.425
O15 0.575 0.438 0.208
O16 0.641 0.003 0.774
O17 0.708 0.938 0.075
O18 0.726 0.497 0.859
O19 0.774 0.641 0.003
O20 0.792 0.425 0.562
O21 0.859 0.726 0.497
O22 0.925 0.292 0.062
O23 0.938 0.075 0.708
O24 0.997 0.226 0.359

Values from the calculation:
* ΔE_f (raw): -2.42 eV/atom
* symmetry: No. 167
* magnetic moment: 1.3 μB per cell
* ρ: 2.6 Mg/m³
* DOS(E_F): 25.28 states/eV per cell

Record 7
Entry from Alexandria via LeMat-Bulk: a relaxed structure of Tl7Bi2Pb2 (PBE).

a b c (Å): 6.205 6.205 10.135
angles (deg): 95.95 95.95 110.12
Fractional coordinates of all 11 atoms:
Tl1 0.000 0.000 0.000
Tl2 0.176 0.608 0.151
Tl3 0.284 0.284 0.695
Tl4 0.392 0.824 0.849
Tl5 0.608 0.176 0.151
Tl6 0.716 0.716 0.305
Tl7 0.824 0.392 0.849
Bi1 0.201 0.201 0.352
Bi2 0.799 0.799 0.648
Pb1 0.256 0.744 0.500
Pb2 0.744 0.256 0.500

Values from the calculation:
* symmetry: No. 12
* magnetic moment: 0.0 μB per cell
* DFT formation energy: 9 meV per atom
* ρ: 10.4 Mg/m³
* DOS(E_F): 4.30 states/eV per cell

Record 8
Entry from Alexandria via LeMat-Bulk: a relaxed structure of LiP2 (PBE).

a b c (Å): 7.725 7.725 3.275
angles (deg): 90.00 90.00 120.00
Fractional coordinates of all 9 atoms:
Li1 0.000 0.000 0.000
Li2 0.333 0.667 0.500
Li3 0.667 0.333 0.500
P1 0.000 0.302 0.500
P2 0.000 0.485 0.000
P3 0.302 0.000 0.500
P4 0.485 0.000 0.000
P5 0.515 0.515 0.000
P6 0.698 0.698 0.500

Values from the calculation:
* symmetry: No. 189
* magnetic moment: 0.0 μB per cell
* DFT formation energy: -194 meV per atom
* ρ: 2.0 Mg/m³
* DOS(E_F): 4.13 states/eV per cell

Record 9
Entry from Alexandria via LeMat-Bulk: a relaxed structure of LiSnNO2 (PBE).

a b c (Å): 4.093 4.093 4.230
angles (deg): 90.00 90.00 90.00
Fractional coordinates of all 5 atoms:
Li1 0.000 0.000 0.000
Sn1 0.500 0.500 0.500
N1 0.500 0.500 0.000
O1 0.000 0.500 0.500
O2 0.500 0.000 0.500

Values from the calculation:
* ΔE_f (raw): -0.32 eV/atom
* symmetry: No. 123
* magnetic moment: 2.0 μB per cell
* ρ: 4.0 Mg/m³
* DOS(E_F): 0.96 states/eV per cell

Record 10
Entry from Alexandria via LeMat-Bulk: a relaxed structure of TmVNi4 (PBE).

a b c (Å): 8.001 8.001 5.642
angles (deg): 90.00 90.00 152.50
Fractional coordinates of all 12 atoms:
Tm1 0.098 0.902 0.750
Tm2 0.902 0.098 0.250
V1 0.231 0.769 0.250
V2 0.769 0.231 0.750
Ni1 0.078 0.922 0.250
Ni2 0.339 0.661 0.545
Ni3 0.339 0.661 0.955
Ni4 0.500 0.500 0.000
Ni5 0.500 0.500 0.500
Ni6 0.661 0.339 0.045
Ni7 0.661 0.339 0.455
Ni8 0.922 0.078 0.750

Values from the calculation:
* symmetry: No. 63
* magnetic moment: 0.0 μB per cell
* DFT formation energy: -182 meV per atom
* ρ: 9.1 Mg/m³
* DOS(E_F): 8.25 states/eV per cell

Record 11
Entry from Alexandria via LeMat-Bulk: a relaxed structure of TlAg2MoS4 (PBE).

a b c (Å): 6.605 6.603 6.538
angles (deg): 60.34 60.31 59.34
Fractional coordinates of all 8 atoms:
Tl1 0.000 0.000 0.000
Ag1 0.250 0.250 0.250
Ag2 0.750 0.750 0.750
Mo1 0.501 0.501 0.499
S1 0.165 0.560 0.440
S2 0.441 0.836 0.559
S3 0.560 0.165 0.835
S4 0.836 0.441 0.164

Values from the calculation:
* ΔE_f (raw): -0.29 eV/atom
* symmetry: No. 42
* magnetic moment: 0.0 μB per cell
* ρ: 5.3 Mg/m³
* DOS(E_F): 2.62 states/eV per cell

Record 12
Entry from Alexandria via LeMat-Bulk: a relaxed structure of Tb6GaCo2 (PBE).

a b c (Å): 8.306 8.306 8.306
angles (deg): 112.05 109.41 106.99
Fractional coordinates of all 18 atoms:
Tb1 0.042 0.238 0.803
Tb2 0.181 0.281 0.461
Tb3 0.181 0.719 0.900
Tb4 0.326 0.014 0.687
Tb5 0.326 0.639 0.313
Tb6 0.435 0.238 0.197
Tb7 0.565 0.762 0.803
Tb8 0.674 0.361 0.687
Tb9 0.674 0.986 0.313
Tb10 0.819 0.281 0.100
Tb11 0.819 0.719 0.539
Tb12 0.958 0.762 0.197
Ga1 0.000 0.000 0.000
Ga2 0.500 0.500 0.000
Co1 0.114 0.614 0.500
Co2 0.335 0.000 0.335
Co3 0.665 0.000 0.665
Co4 0.886 0.386 0.500

Values from the calculation:
* symmetry: No. 71
* magnetic moment: 0.0 μB per cell
* DFT formation energy: -277 meV per atom
* ρ: 8.6 Mg/m³
* DOS(E_F): 14.26 states/eV per cell

Which formula does entry 2 have?
Nd4Al2O9

Which value of ρ does entry 5 give?
9.5 Mg/m³

The highest ρ belongs to which entry?
Tl7Bi2Pb2

Which of these has the highest DOS(E_F)?
Ti2P3O12